A plane-wave DFT calculation with GGA-PBE was carried out for a geometry-optimized Ac2AsHPt6 structure.

The structure in CIF format:
```
data_Ac2AsHPt6
_symmetry_space_group_name_H-M 'C 1 2/m 1'
_symmetry_Int_Tables_number 12
_symmetry_space_group_name_Hall '-C 2y'
_cell_length_a 10.215
_cell_length_b 5.903
_cell_length_c 7.058
_cell_angle_alpha 90.00
_cell_angle_beta 118.70
_cell_angle_gamma 90.00
loop_
_atom_site_label
_atom_site_fract_x
_atom_site_fract_y
_atom_site_fract_z
Ac1 0.223 0.000 0.168
As1 0.000 0.500 0.000
H1 0.000 0.000 0.500
Pt1 0.024 0.253 0.317
Pt2 0.229 0.000 0.685
```

N(E_F)   8.1 states/eV/cell
Final energy   -5.96 eV/atom
Mass density   15.13 g/cm³
V   18.66 Å³ per atom